The following is a DFT calculation (PBE) of an optimized crystal structure of Cu7PSe6.

Output
* total energy: -4.009 eV per atom
* space group: No. 33
* energy relative to the elements, uncorrected: -0.081 eV per atom

a = 7.201 Å, b = 10.140 Å, c = 14.489 Å
α = 90.00°, β = 90.00°, γ = 90.00°
Fractional coordinates of all 56 atoms:
Cu: 0.455 0.008 0.233
Cu: 0.545 0.508 0.767
Cu: 0.045 0.008 0.733
Cu: 0.955 0.508 0.267
Cu: 0.412 0.048 0.767
Cu: 0.588 0.548 0.233
Cu: 0.088 0.048 0.267
Cu: 0.912 0.548 0.733
Cu: 0.777 0.750 0.288
Cu: 0.223 0.250 0.712
Cu: 0.723 0.750 0.788
Cu: 0.277 0.250 0.212
Cu: 0.068 0.088 0.956
Cu: 0.932 0.588 0.044
Cu: 0.432 0.088 0.456
Cu: 0.568 0.588 0.544
Cu: 0.947 0.921 0.557
Cu: 0.053 0.421 0.443
Cu: 0.553 0.921 0.057
Cu: 0.447 0.421 0.943
Cu: 0.026 0.364 0.849
Cu: 0.974 0.864 0.151
Cu: 0.474 0.364 0.349
Cu: 0.526 0.864 0.651
Cu: 0.797 0.269 0.383
Cu: 0.203 0.769 0.617
Cu: 0.703 0.269 0.883
Cu: 0.297 0.769 0.117
P: 0.752 0.252 0.127
P: 0.248 0.752 0.873
P: 0.748 0.252 0.627
P: 0.252 0.752 0.373
Se: 0.751 0.112 0.007
Se: 0.249 0.612 0.993
Se: 0.749 0.112 0.507
Se: 0.251 0.612 0.493
Se: 0.253 0.623 0.247
Se: 0.747 0.123 0.753
Se: 0.247 0.623 0.747
Se: 0.753 0.123 0.253
Se: 0.507 0.878 0.370
Se: 0.493 0.378 0.630
Se: 0.993 0.878 0.870
Se: 0.007 0.378 0.130
Se: 0.507 0.877 0.880
Se: 0.493 0.377 0.120
Se: 0.993 0.877 0.380
Se: 0.007 0.377 0.620
Se: 0.715 0.729 0.123
Se: 0.285 0.229 0.877
Se: 0.785 0.729 0.623
Se: 0.215 0.229 0.377
Se: 0.731 0.505 0.390
Se: 0.269 0.005 0.610
Se: 0.769 0.505 0.890
Se: 0.231 0.005 0.110